(one)
The following is a DFT calculation (GGA-PBE) of a relaxed Ho3TlHg crystal.

Cell: 6.414 10.176 8.898 Å, 90.00 90.00 90.00°
Space group Pnma (No. 62)
One atom of each set of equivalent atoms:
Ho: 0.111 0.068 0.179
Ho: 0.183 0.750 0.363
Tl: 0.174 0.750 0.012
Hg: 0.000 0.000 0.500

## Properties
The crystal system is orthorhombic. The value obtained for the magnetic moment is 0.0 μB per formula unit.



(two)
The following is a DFT calculation (GGA-PBE) of a relaxed Ho3TlHg crystal.

Cell: 5.119 21.009 5.119 Å, 90.00 90.00 90.00°
Space group Cmcm (No. 63)
One atom of each set of equivalent atoms:
Ho: 0.000 0.059 0.250
Ho: 0.000 0.250 0.250
Ho: 0.000 0.441 0.250
Tl: 0.000 0.156 0.750
Hg: 0.000 0.347 0.750

## Properties
The crystal system is orthorhombic. The value obtained for the magnetic moment is 0.5 μB per formula unit.



Most stable to least stable, the ends of the list are (two) and (one).



(one)
The following is a DFT calculation (GGA-PBE) of a relaxed Ho3Tl3Hg2 crystal.

Cell: 5.091 5.200 7.965 Å, 90.00 90.00 90.00°
Space group Pmmm (No. 47)
One atom of each set of equivalent atoms:
Ho: 0.000 0.000 0.000
Ho: 0.000 0.000 0.500
Ho: 0.500 0.500 0.000
Tl: 0.500 0.000 0.247
Tl: 0.500 0.500 0.500
Hg: 0.000 0.500 0.241

## Properties
The crystal system is orthorhombic. The value obtained for the magnetic moment is 0.4 μB per formula unit.



(two)
The following is a DFT calculation (GGA-PBE) of a relaxed Ho3Tl3Hg2 crystal.

Cell: 8.2570 8.2570 3.5924 Å, 90.00 90.00 120.00°
Space group P-62m (No. 189)
One atom of each set of equivalent atoms:
Ho: 0.0000 0.3838 0.0000
Tl: 0.0000 0.7606 0.5000
Hg: 0.3333 0.6667 0.5000

## Properties
The crystal system is hexagonal. The value obtained for the magnetic moment is 0.0 μB per formula unit.



Most stable to least stable, the ends of the list are (two) and (one).



(one)
The following is a DFT calculation (GGA-PBE) of a relaxed Ho4Tl2Hg crystal.

Cell: 7.130 6.747 9.140 Å, 90.00 111.61 90.00°
Space group P2_1/m (No. 11)
One atom of each set of equivalent atoms:
Ho: 0.089 0.250 0.056
Ho: 0.173 0.008 0.732
Ho: 0.313 0.750 0.340
Tl: 0.203 0.250 0.444
Tl: 0.423 0.750 0.041
Hg: 0.490 0.750 0.698

## Properties
The crystal system is monoclinic. The value obtained for the magnetic moment is 0.0 μB per formula unit.



(two)
The following is a DFT calculation (GGA-PBE) of a relaxed Ho4Tl2Hg crystal.

Cell: 5.2345 5.2345 25.6131 Å, 90.00 90.00 120.00°
Space group R-3m (No. 166, hexagonal axes)
One atom of each set of equivalent atoms:
Ho: 0.0000 0.0000 0.1226
Ho: 0.0000 0.0000 0.3740
Tl: 0.0000 0.0000 0.2525
Hg: 0.0000 0.0000 0.5000

## Properties
The crystal system is trigonal. The value obtained for the magnetic moment is 0.0 μB per formula unit.



Most stable to least stable, the ends of the list are (two) and (one).



(one)
The following is a DFT calculation (GGA-PBE) of a relaxed HoTmTlHg crystal.

Cell: 7.465 7.465 7.465 Å, 90.00 90.00 90.00°
Space group F-43m (No. 216)
One atom of each set of equivalent atoms:
Ho: 0.000 0.000 0.000
Tm: 0.000 0.000 0.500
Tl: 0.250 0.250 0.250
Hg: 0.250 0.250 0.750

## Properties
The crystal system is cubic. The value obtained for the magnetic moment is 0.2 μB per formula unit.



(two)
The following is a DFT calculation (GGA-PBE) of a relaxed HoTmTlHg crystal.

Cell: 3.735 3.735 7.450 Å, 90.00 90.00 90.00°
Space group P4mm (No. 99)
One atom of each set of equivalent atoms:
Ho: 0.000 0.000 0.000
Tm: 0.000 0.000 0.482
Tl: 0.500 0.500 0.739
Hg: 0.500 0.500 0.246

## Properties
The crystal system is tetragonal. The value obtained for the magnetic moment is 0.0 μB per formula unit.



Most stable to least stable, the ends of the list are (two) and (one).



(one)
The following is a DFT calculation (GGA-PBE) of a relaxed Ho3TmHg4 crystal.

Cell: 14.088 5.286 5.959 Å, 90.00 107.78 90.00°
Space group C2/m (No. 12)
One atom of each set of equivalent atoms:
Ho: 0.000 0.000 0.000
Ho: 0.167 0.000 0.579
Tm: 0.000 0.500 0.500
Hg: 0.112 0.500 0.151
Hg: 0.239 0.500 0.828

## Properties
The crystal system is monoclinic. The value obtained for the magnetic moment is 0.0 μB per formula unit.



(two)
The following is a DFT calculation (GGA-PBE) of a relaxed Ho3TmHg4 crystal.

Cell: 3.696 3.696 14.822 Å, 90.00 90.00 90.00°
Space group P4/mmm (No. 123)
One atom of each set of equivalent atoms:
Ho: 0.000 0.000 0.000
Ho: 0.000 0.000 0.251
Tm: 0.000 0.000 0.500
Hg: 0.500 0.500 0.125
Hg: 0.500 0.500 0.378

## Properties
The crystal system is tetragonal. The value obtained for the magnetic moment is 0.0 μB per formula unit.



Most stable to least stable, the ends of the list are (two) and (one).



(one)
The following is a DFT calculation (GGA-PBE) of a relaxed Ho4TmHg crystal.

Cell: 8.636 13.817 6.306 Å, 90.00 108.74 90.00°
Space group C2/c (No. 15)
One atom of each set of equivalent atoms:
Ho: 0.099 0.189 0.044
Ho: 0.217 0.380 0.377
Tm: 0.000 0.407 0.750
Hg: 0.000 0.001 0.750

## Properties
The crystal system is monoclinic. The value obtained for the magnetic moment is 0.0 μB per formula unit.



(two)
The following is a DFT calculation (GGA-PBE) of a relaxed Ho4TmHg crystal.

Cell: 3.539 3.539 13.950 Å, 90.00 90.00 90.00°
Space group P4/mmm (No. 123)
One atom of each set of equivalent atoms:
Ho: 0.000 0.000 0.145
Ho: 0.500 0.500 0.324
Tm: 0.000 0.000 0.500
Hg: 0.500 0.500 0.000

## Properties
The crystal system is tetragonal. The value obtained for the magnetic moment is 0.0 μB per formula unit.



Most stable to least stable, the ends of the list are (two) and (one).